Entry 1:
16
Lattice="7.511 0.000 0.000 0.000 7.511 0.000 0.000 0.000 7.511" Properties=species:S:1:pos:R:3 comment="BiRuI2, relaxed, DFT GGA-PBE" total_energy_ev_per_atom=-3.20 relative_energy_ev_per_atom=0.5862 pbc="T T T"
Bi 0.000 0.000 0.000
Bi 0.000 3.756 3.756
Bi 3.756 0.000 3.756
Bi 3.756 3.756 0.000
Ru 0.000 0.000 3.756
Ru 0.000 3.756 0.000
Ru 3.756 0.000 0.000
Ru 3.756 3.756 3.756
I 1.878 1.878 1.878
I 1.878 1.878 5.634
I 1.878 5.634 1.878
I 1.878 5.634 5.634
I 5.634 1.878 1.878
I 5.634 1.878 5.634
I 5.634 5.634 1.878
I 5.634 5.634 5.634

---

Entry 2:
16
Lattice="10.015 0.000 0.000 0.000 10.015 0.000 0.000 0.000 5.305" Properties=species:S:1:pos:R:3 comment="BiRuI2, relaxed, DFT GGA-PBE" total_energy_ev_per_atom=-3.78 relative_energy_ev_per_atom=0.0000 pbc="T T T"
Bi 0.000 0.000 0.000
Bi 0.000 5.008 1.326
Bi 5.008 0.000 3.979
Bi 5.008 5.008 2.652
Ru 0.000 0.000 2.652
Ru 0.000 5.008 3.979
Ru 5.008 0.000 1.326
Ru 5.008 5.008 0.000
I 1.013 2.504 3.316
I 2.504 6.021 4.642
I 2.504 9.002 1.989
I 3.995 2.504 0.663
I 6.021 7.512 0.663
I 7.512 1.013 1.989
I 7.512 3.995 4.642
I 9.002 7.512 3.316

---

Entry 3:
12
Lattice="9.064 0.000 0.000 0.000 9.064 0.000 0.000 0.000 4.140" Properties=species:S:1:pos:R:3 comment="BiRuI, relaxed, DFT GGA-PBE" total_energy_ev_per_atom=-4.69 pbc="T T T"
Bi 0.497 6.890 0.000
Bi 2.173 0.497 2.070
Bi 6.890 8.566 2.070
Bi 8.566 2.173 0.000
Ru 2.152 2.181 0.000
Ru 2.181 6.912 2.070
Ru 6.883 2.152 2.070
Ru 6.912 6.883 0.000
I 2.212 4.079 2.070
I 4.079 6.852 0.000
I 4.985 2.212 0.000
I 6.852 4.985 2.070

---

Entry 4:
5
Lattice="5.395 0.000 0.000 0.000 5.395 0.000 0.000 0.000 5.159" Properties=species:S:1:pos:R:3 comment="BiSbRuI2, relaxed, DFT GGA-PBE" total_energy_ev_per_atom=-3.62 relative_energy_ev_per_atom=0.0000 pbc="T T T"
Bi 0.000 0.000 0.000
Sb 2.698 2.698 0.000
Ru 2.698 2.698 2.579
I 0.000 2.698 2.579
I 2.698 0.000 2.579

---

Entry 5:
5
Lattice="5.476 0.000 0.000 0.000 5.476 0.000 0.000 0.000 6.079" Properties=species:S:1:pos:R:3 comment="BiRuSe2I, relaxed, DFT GGA-PBE" total_energy_ev_per_atom=-3.16 pbc="T T T"
Bi 0.000 0.000 0.000
Ru 2.738 2.738 3.040
Se 0.000 2.738 0.000
Se 2.738 0.000 0.000
I 0.000 0.000 3.040

---

Entry 6:
5
Lattice="5.325 0.000 0.000 0.000 5.325 0.000 0.000 0.000 5.237" Properties=species:S:1:pos:R:3 comment="Bi2RuSeI, relaxed, DFT GGA-PBE" total_energy_ev_per_atom=-3.94 pbc="T T T"
Bi 0.000 2.663 0.000
Bi 2.663 0.000 0.000
Ru 0.000 0.000 0.000
Se 2.663 2.663 2.618
I 0.000 0.000 2.618

---

Entry 7:
5
Lattice="5.879 0.000 0.000 0.000 5.879 0.000 0.000 0.000 5.078" Properties=species:S:1:pos:R:3 comment="SnBi2RuI, relaxed, DFT GGA-PBE" total_energy_ev_per_atom=-3.52 pbc="T T T"
Sn 0.000 0.000 0.000
Bi 0.000 2.940 0.000
Bi 2.940 0.000 0.000
Ru 0.000 0.000 2.539
I 2.940 2.940 2.539

---

Entry 8:
5
Lattice="5.522 0.000 0.000 0.000 5.522 0.000 0.000 0.000 5.392" Properties=species:S:1:pos:R:3 comment="TaBi2RuI, relaxed, DFT GGA-PBE" total_energy_ev_per_atom=-4.71 pbc="T T T"
Ta 0.000 0.000 0.000
Bi 0.000 2.761 0.000
Bi 2.761 0.000 0.000
Ru 2.761 2.761 2.696
I 0.000 0.000 2.696

---

Entry 9:
5
Lattice="5.225 0.000 0.000 0.000 5.225 0.000 0.000 0.000 5.395" Properties=species:S:1:pos:R:3 comment="BiTe2RuI, relaxed, DFT GGA-PBE" total_energy_ev_per_atom=-3.83 relative_energy_ev_per_atom=0.0000 pbc="T T T"
Bi 0.000 0.000 0.000
Te 0.000 2.613 2.697
Te 2.613 0.000 2.697
Ru 2.613 2.613 2.697
I 2.613 2.613 0.000

---

Entry 10:
5
Lattice="5.365 0.000 0.000 0.000 5.365 0.000 0.000 0.000 5.240" Properties=species:S:1:pos:R:3 comment="BiTeRuI2, relaxed, DFT GGA-PBE" total_energy_ev_per_atom=-3.50 relative_energy_ev_per_atom=0.0000 pbc="T T T"
Bi 0.000 0.000 0.000
Te 2.683 2.683 0.000
Ru 2.683 2.683 2.620
I 0.000 2.683 2.620
I 2.683 0.000 2.620

---

Entry 11:
11
Lattice="-2.002 4.958 8.109 2.002 -4.958 8.109 2.002 4.958 -8.109" Properties=species:S:1:pos:R:3 comment="Bi4S4I3, relaxed, DFT GGA-PBE" total_energy_ev_per_atom=-3.47 pbc="T T T"
Bi 0.000 0.000 3.388
Bi 2.002 2.627 0.000
Bi 0.000 2.332 8.109
Bi 0.000 0.000 12.829
S 2.002 1.806 -2.625
S 2.002 1.806 2.625
S 0.000 3.153 5.484
S 0.000 3.153 10.734
I 0.000 0.000 0.000
I 2.002 0.000 6.271
I 0.000 4.958 1.837

---

Entry 12:
12
Lattice="5.851 -3.959 0.000 5.851 3.959 0.000 0.000 0.000 7.342" Properties=species:S:1:pos:R:3 comment="Bi2S3I, relaxed, DFT GGA-PBE" total_energy_ev_per_atom=-3.64 pbc="T T T"
Bi 2.308 0.000 0.000
Bi 2.308 0.000 3.671
Bi 9.394 0.000 0.000
Bi 9.394 0.000 3.671
S 5.851 3.345 5.506
S 3.667 1.763 1.835
S 8.034 1.763 1.835
S 3.667 -1.763 5.506
S 8.034 -1.763 5.506
S 5.851 -3.345 1.835
I 5.851 0.849 5.506
I 5.851 -0.849 1.835

---

Entry 13:
14
Lattice="10.860 0.000 0.000 0.000 7.000 0.000 -0.967 0.000 5.101" Properties=species:S:1:pos:R:3 comment="BiS5I, relaxed, DFT GGA-PBE" total_energy_ev_per_atom=-3.50 pbc="T T T"
Bi 0.000 0.000 0.000
Bi 5.430 3.500 0.000
S 0.348 1.037 2.947
S 0.348 5.963 2.947
S 2.115 3.500 3.181
S 2.515 0.000 1.334
S 2.633 3.500 1.305
S 5.778 2.463 2.947
S 5.778 4.537 2.947
S 7.545 0.000 3.181
S 7.945 3.500 1.334
S 8.063 0.000 1.305
I 3.436 0.000 4.950
I 8.866 3.500 4.950

---

Entry 14:
16
Lattice="7.638 0.000 0.000 0.000 7.638 0.000 0.000 0.000 7.638" Properties=species:S:1:pos:R:3 comment="Bi2SI, relaxed, DFT GGA-PBE" total_energy_ev_per_atom=-3.08 pbc="T T T"
Bi 1.910 1.910 1.910
Bi 1.910 1.910 5.729
Bi 1.910 5.729 1.910
Bi 1.910 5.729 5.729
Bi 5.729 1.910 1.910
Bi 5.729 1.910 5.729
Bi 5.729 5.729 1.910
Bi 5.729 5.729 5.729
S 0.000 0.000 0.000
S 0.000 3.819 3.819
S 3.819 0.000 3.819
S 3.819 3.819 0.000
I 0.000 0.000 3.819
I 0.000 3.819 0.000
I 3.819 0.000 0.000
I 3.819 3.819 3.819

---

Entry 15:
80
Lattice="-8.581 8.581 8.581 8.581 -8.581 8.581 8.581 8.581 -8.581" Properties=species:S:1:pos:R:3 comment="Bi5S12I3, relaxed, DFT GGA-PBE" total_energy_ev_per_atom=-3.40 pbc="T T T"
Bi 0.000 0.000 0.000
Bi 4.291 4.291 -4.291
Bi 4.291 -4.291 4.291
Bi 8.581 0.000 0.000
Bi 12.872 2.145 0.000
Bi 8.581 -4.291 6.436
Bi 6.436 8.581 -4.291
Bi 6.436 0.000 4.291
Bi 4.291 6.436 0.000
Bi 8.581 4.291 2.145
Bi -4.291 4.291 4.291
Bi 0.000 8.581 0.000
Bi 0.000 0.000 8.581
Bi 4.291 4.291 4.291
Bi 0.000 4.291 6.436
Bi 4.291 2.145 8.581
Bi 2.145 8.581 4.291
Bi 2.145 0.000 12.872
Bi 0.000 12.872 2.145
Bi -4.291 6.436 8.581
S 2.735 -0.056 0.724
S 10.136 5.014 -4.347
S 11.316 0.056 0.724
S 10.136 -3.567 4.347
S 8.525 -0.724 2.735
S 12.928 -1.555 3.567
S 0.724 2.735 -0.056
S 12.148 4.235 -1.555
S 5.014 4.347 -1.555
S 7.858 2.735 0.056
S -0.056 0.724 2.735
S 4.347 -1.555 5.014
S 8.525 7.858 -2.735
S 4.347 1.555 3.567
S 5.014 -4.347 10.136
S 7.858 -2.735 8.525
S 3.567 4.347 1.555
S 9.305 5.846 0.056
S 4.347 10.136 -3.567
S 8.525 0.724 5.846
S 2.735 8.525 -0.724
S 10.136 3.567 4.235
S 1.555 3.567 4.347
S 2.735 0.056 7.858
S 5.846 8.525 0.724
S 7.026 5.014 4.235
S -1.555 5.014 4.347
S 5.846 0.056 9.305
S 0.056 7.858 2.735
S 4.235 -1.555 12.148
S -0.724 2.735 8.525
S 5.014 4.235 7.026
S 0.724 11.316 0.056
S 3.567 12.928 -1.555
S 4.235 7.026 5.014
S 0.056 0.724 11.316
S 4.235 10.136 3.567
S 8.637 7.858 5.846
S 0.724 5.846 8.525
S 3.567 4.235 10.136
S -3.567 4.347 10.136
S 7.858 5.846 8.637
S -4.347 10.136 5.014
S 0.056 9.305 5.846
S -1.555 12.148 4.235
S -2.735 8.525 7.858
S -1.555 3.567 12.928
S 5.846 8.637 7.858
I 4.291 2.145 0.000
I 8.581 4.291 -2.145
I 2.145 0.000 4.291
I 10.726 0.000 4.291
I 0.000 4.291 2.145
I 4.291 -2.145 8.581
I 4.291 10.726 0.000
I 8.581 4.291 6.436
I -2.145 8.581 4.291
I 6.436 8.581 4.291
I 0.000 4.291 10.726
I 4.291 6.436 8.581

---

Entry 16:
16
Lattice="7.210 0.000 0.000 0.000 7.210 0.000 0.000 0.000 7.210" Properties=species:S:1:pos:R:3 comment="BiS2I, relaxed, DFT GGA-PBE" total_energy_ev_per_atom=-2.98 relative_energy_ev_per_atom=0.5719 pbc="T T T"
Bi 0.000 0.000 0.000
Bi 0.000 3.605 3.605
Bi 3.605 0.000 3.605
Bi 3.605 3.605 0.000
S 1.803 1.803 1.803
S 1.803 1.803 5.408
S 1.803 5.408 1.803
S 1.803 5.408 5.408
S 5.408 1.803 1.803
S 5.408 1.803 5.408
S 5.408 5.408 1.803
S 5.408 5.408 5.408
I 0.000 0.000 3.605
I 0.000 3.605 0.000
I 3.605 0.000 0.000
I 3.605 3.605 3.605

---

Entry 17:
11
Lattice="8.729 0.000 0.000 -4.364 7.559 0.000 0.000 0.000 7.739" Properties=species:S:1:pos:R:3 comment="Bi3SI7, relaxed, DFT GGA-PBE" total_energy_ev_per_atom=-2.86 pbc="T T T"
Bi 0.000 2.656 0.000
Bi -2.064 6.231 0.000
Bi 2.064 6.231 0.000
S 0.000 5.040 6.382
I 0.000 0.000 1.923
I -2.180 3.781 1.906
I 2.193 1.266 5.959
I 0.000 7.557 1.906
I 2.180 3.781 1.906
I 6.536 1.266 5.959
I 4.364 5.027 5.959

---

Entry 18:
12
Lattice="3.856 0.000 0.000 -1.928 3.340 0.000 0.000 0.000 27.390" Properties=species:S:1:pos:R:3 comment="BiS2I, relaxed, DFT GGA-PBE" total_energy_ev_per_atom=-2.81 relative_energy_ev_per_atom=0.7474 pbc="T T T"
Bi 0.000 0.000 0.000
Bi 0.000 2.226 18.260
Bi 1.928 1.113 9.130
S 0.000 0.000 2.636
S 0.000 0.000 24.754
S 0.000 2.226 15.624
S 0.000 2.226 20.896
S 1.928 1.113 6.494
S 1.928 1.113 11.766
I 0.000 0.000 13.695
I 0.000 2.226 4.565
I 1.928 1.113 22.825

---

Entry 19:
16
Lattice="5.634 0.000 0.000 0.000 5.634 0.000 0.000 0.000 18.492" Properties=species:S:1:pos:R:3 comment="Bi2SI, relaxed, DFT GGA-PBE" total_energy_ev_per_atom=-3.38 pbc="T T T"
Bi 0.831 1.409 2.312
Bi 1.409 3.648 6.935
Bi 1.409 4.803 16.181
Bi 1.986 1.409 11.558
Bi 3.648 4.226 11.558
Bi 4.226 0.831 16.181
Bi 4.226 1.986 6.935
Bi 4.803 4.226 2.312
S 0.000 0.000 0.000
S 0.000 2.817 4.623
S 2.817 0.000 13.869
S 2.817 2.817 9.246
I 0.000 0.000 9.246
I 0.000 2.817 13.869
I 2.817 0.000 4.623
I 2.817 2.817 0.000

---

Entry 20:
5
Lattice="5.319 0.000 0.000 0.000 5.319 0.000 0.000 0.000 5.319" Properties=species:S:1:pos:R:3 comment="BiS3I, relaxed, DFT GGA-PBE" total_energy_ev_per_atom=-2.86 relative_energy_ev_per_atom=0.0000 pbc="T T T"
Bi 0.000 0.000 0.000
S 0.000 0.000 2.660
S 0.000 2.660 0.000
S 2.660 0.000 0.000
I 2.660 2.660 2.660